No. 1
A relaxed PrTm2VN4 crystal, computed with GGA-PBE.

The structure in CIF format:
```
data_PrTm2VN4
_chemical_formula_sum 'Pr4 Tm8 V4 N16'
_cell_length_a 3.370
_cell_length_b 11.699
_cell_length_c 11.596
_cell_angle_alpha 90.00
_cell_angle_beta 90.00
_cell_angle_gamma 90.00
_symmetry_space_group_name_H-M 'C m c m'
_symmetry_Int_Tables_number 63
_symmetry_space_group_name_Hall '-C 2c 2'
loop_
_atom_site_label
_atom_site_fract_x
_atom_site_fract_y
_atom_site_fract_z
Pr1 0.000 0.085 0.250
Tm1 0.000 0.371 0.042
V1 0.000 0.175 0.750
N1 0.000 0.000 0.000
N2 0.000 0.262 0.622
N3 0.000 0.420 0.250
```

Summary:
- uncorrected energy (eV per atom) = -8.44
- total magnetization (μB per cell) = 0.95
- E_form (uncorrected) (eV per atom) = -1.42
- ρ (Mg/m³) = 8.51

---

No. 2
A relaxed Pr2TmZrN4 crystal, computed with GGA-PBE.

The structure in CIF format:
```
data_Pr2TmZrN4
_chemical_formula_sum 'Pr2 Tm1 Zr1 N4'
_cell_length_a 6.017
_cell_length_b 3.473
_cell_length_c 6.115
_cell_angle_alpha 90.00
_cell_angle_beta 109.01
_cell_angle_gamma 90.00
_symmetry_space_group_name_H-M 'P 1 2/m 1'
_symmetry_Int_Tables_number 10
loop_
_symmetry_equiv_pos_as_xyz
'x,y,z'
'-x,-y,-z'
'-x,y,-z'
'x,-y,z'
loop_
_atom_site_label
_atom_site_fract_x
_atom_site_fract_y
_atom_site_fract_z
Pr1 0.000 0.000 0.000
Pr2 0.500 0.500 0.000
Tm1 0.000 0.500 0.500
Zr1 0.500 0.000 0.500
N1 0.251 0.000 0.722
N2 0.268 0.500 0.281
```

Summary:
- uncorrected energy (eV per atom) = -8.51
- total magnetization (μB per cell) = 0.00
- E_form (uncorrected) (eV per atom) = -1.52
- ρ (Mg/m³) = 8.22

---

No. 3
A relaxed PrUN3 crystal, computed with GGA-PBE.

The structure in CIF format:
```
data_PrUN3
_chemical_formula_sum 'Pr4 U4 N12'
_cell_length_a 4.096
_cell_length_b 12.369
_cell_length_c 6.463
_cell_angle_alpha 90.00
_cell_angle_beta 90.00
_cell_angle_gamma 90.00
_symmetry_space_group_name_H-M 'C m c m'
_symmetry_Int_Tables_number 63
_symmetry_space_group_name_Hall '-C 2c 2'
loop_
_atom_site_label
_atom_site_fract_x
_atom_site_fract_y
_atom_site_fract_z
Pr1 0.000 0.203 0.250
U1 0.000 0.484 0.250
N1 0.000 0.004 0.250
N2 0.000 0.368 0.514
```

Summary:
- uncorrected energy (eV per atom) = -9.30
- total magnetization (μB per cell) = 0.00
- E_form (uncorrected) (eV per atom) = -1.09
- ρ (Mg/m³) = 8.54

---

No. 4
A relaxed Pr4UN5 crystal, computed with GGA-PBE.

The structure in CIF format:
```
data_Pr4UN5
_chemical_formula_sum 'Pr8 U2 N10'
_cell_length_a 8.093
_cell_length_b 8.093
_cell_length_c 5.139
_cell_angle_alpha 90.00
_cell_angle_beta 90.00
_cell_angle_gamma 90.00
_symmetry_space_group_name_H-M 'I 4'
_symmetry_Int_Tables_number 79
loop_
_symmetry_equiv_pos_as_xyz
'x,y,z'
'-y,x,z'
'-x,-y,z'
'y,-x,z'
'x+1/2,y+1/2,z+1/2'
'-y+1/2,x+1/2,z+1/2'
'-x+1/2,-y+1/2,z+1/2'
'y+1/2,-x+1/2,z+1/2'
loop_
_atom_site_label
_atom_site_fract_x
_atom_site_fract_y
_atom_site_fract_z
Pr1 0.101 0.700 0.000
U1 0.000 0.000 0.501
N1 0.000 0.000 0.995
N2 0.088 0.738 0.500
```

Summary:
- uncorrected energy (eV per atom) = -8.58
- total magnetization (μB per cell) = 0.00
- E_form (uncorrected) (eV per atom) = -1.37
- ρ (Mg/m³) = 8.60

---

- Number 2 is which compound?
  Pr2TmZrN4

---

- What is the formula in the fourth record?
  Pr4UN5

---

Copy entry 2 word for word.
A relaxed Pr2TmZrN4 crystal, computed with GGA-PBE.

The structure in CIF format:
```
data_Pr2TmZrN4
_chemical_formula_sum 'Pr2 Tm1 Zr1 N4'
_cell_length_a 6.017
_cell_length_b 3.473
_cell_length_c 6.115
_cell_angle_alpha 90.00
_cell_angle_beta 109.01
_cell_angle_gamma 90.00
_symmetry_space_group_name_H-M 'P 1 2/m 1'
_symmetry_Int_Tables_number 10
loop_
_symmetry_equiv_pos_as_xyz
'x,y,z'
'-x,-y,-z'
'-x,y,-z'
'x,-y,z'
loop_
_atom_site_label
_atom_site_fract_x
_atom_site_fract_y
_atom_site_fract_z
Pr1 0.000 0.000 0.000
Pr2 0.500 0.500 0.000
Tm1 0.000 0.500 0.500
Zr1 0.500 0.000 0.500
N1 0.251 0.000 0.722
N2 0.268 0.500 0.281
```

Summary:
- uncorrected energy (eV per atom) = -8.51
- total magnetization (μB per cell) = 0.00
- E_form (uncorrected) (eV per atom) = -1.52
- ρ (Mg/m³) = 8.22